Entry 1:
Crystalline Tm6TlNi2 at its relaxed geometry. Source: the Open Quantum Materials Database, functional PBE-GGA.

Calculated values
E_tot (eV per atom): -4.827

Lattice parameters (Å, degrees): 8.3009 8.3009 8.3009 112.45 109.57 106.45
Last column: nearest neighbours and their distance in Å.
Atoms (fractional coordinates):
Ni 0.6444 0.0000 0.6444  6 Tm 2.72-2.85, 1 Ni 2.76
Ni 0.3556 0.0000 0.3556  6 Tm 2.72-2.85, 1 Ni 2.76
Ni 0.8756 0.3756 0.5000  1 Ni 2.47, 2 Tm 2.68
Ni 0.1244 0.6244 0.5000  1 Ni 2.47, 2 Tm 2.68
Tl 0.5000 0.5000 0.0000  12 Tm 3.31-3.59
Tl 0.0000 0.0000 0.0000  8 Tm 3.05-3.22, 2 Ni 3.40
Tm 0.9736 0.7666 0.2071  1 Ni 2.72
Tm 0.3254 0.0193 0.6939  3 Ni 2.68-2.85
Tm 0.3254 0.6314 0.3061  3 Ni 2.68-2.85
Tm 0.1834 0.7079 0.8913  3 Ni 2.88-3.16, 1 Tl 3.22
Tm 0.4405 0.2334 0.2071  1 Ni 2.72
Tm 0.6746 0.9807 0.3061  3 Ni 2.68-2.85
Tm 0.5595 0.7666 0.7929  1 Ni 2.72
Tm 0.6746 0.3686 0.6939  3 Ni 2.68-2.85
Tm 0.0264 0.2334 0.7929  1 Ni 2.72
Tm 0.8166 0.2921 0.1087  3 Ni 2.88-3.16, 1 Tl 3.22
Tm 0.1834 0.2921 0.4756  3 Ni 2.88-3.16, 1 Tl 3.22
Tm 0.8166 0.7079 0.5244  3 Ni 2.88-3.16, 1 Tl 3.22

=====

Entry 2:
Crystalline YTmTl4Ni2 at its relaxed geometry. Source: the Open Quantum Materials Database, functional PBE-GGA.

Calculated values
E_tot (eV per atom): -4.109

Lattice parameters (Å, degrees): 7.5198 5.7547 5.7547 44.16 90.00 90.00
Last column: nearest neighbours and their distance in Å.
Atoms (fractional coordinates):
Tm 0.0000 0.5691 0.5691  3 Ni 3.01-3.18, 4 Tl 3.19
Ni 0.5000 0.7140 0.7140  6 Tl 2.72-2.77, 1 Y 3.02
Ni 0.0000 0.2871 0.2871  6 Tl 2.72-2.75, 1 Tm 3.01
Y 0.5000 0.4311 0.4311  3 Ni 3.02-3.17, 4 Tl 3.20
Tl 0.7972 0.8588 0.8588  3 Ni 2.72-2.75
Tl 0.7045 0.1406 0.1406  3 Ni 2.72-2.77
Tl 0.2955 0.1406 0.1406  3 Ni 2.72-2.77
Tl 0.2028 0.8588 0.8588  3 Ni 2.72-2.75

=====

Number 1: magnetization 0.000 μB/atom. Number 2: magnetization 0.000 μB/atom.